[1]
The following is a DFT calculation (PBE) of a geometry-optimized Cs12Ag5F3 structure.

Geometry as POSCAR:
```
Cs12Ag5F3
1.0
-14.4669 6.9365 -8.4821
-4.0572 -2.9645 17.4386
13.8345 11.6951 -1.0887
Cs F Ag
48 12 20
direct
0.3757 0.1205 0.5462 Cs
0.4257 0.7552 0.8795 Cs
0.9538 0.1243 0.8795 Cs
0.1243 0.9538 0.3795 Cs
0.9257 0.3795 0.2552 Cs
0.8757 0.8295 0.7552 Cs
0.5462 0.6205 0.3757 Cs
0.1705 0.1243 0.7448 Cs
0.1705 0.0462 0.9257 Cs
0.0743 0.6205 0.7448 Cs
0.7552 0.3295 0.8757 Cs
0.4538 0.0743 0.3295 Cs
0.0462 0.1705 0.4257 Cs
0.8757 0.0462 0.6205 Cs
0.7448 0.1205 0.0743 Cs
0.3757 0.2552 0.3295 Cs
0.6243 0.7448 0.6705 Cs
0.5743 0.2448 0.1205 Cs
0.7448 0.6243 0.1705 Cs
0.0743 0.4538 0.8295 Cs
0.2552 0.8795 0.9257 Cs
0.5462 0.9257 0.6705 Cs
0.3795 0.4538 0.1243 Cs
0.7552 0.4257 0.3795 Cs
0.8795 0.2552 0.4257 Cs
0.9538 0.8295 0.5743 Cs
0.9257 0.5462 0.1705 Cs
0.2448 0.5743 0.6205 Cs
0.4257 0.6705 0.0462 Cs
0.3295 0.7552 0.3757 Cs
0.2552 0.3757 0.8295 Cs
0.6705 0.4257 0.5462 Cs
0.5743 0.3295 0.9538 Cs
0.6705 0.2448 0.6243 Cs
0.8295 0.8757 0.2552 Cs
0.3795 0.9257 0.7552 Cs
0.6243 0.8795 0.4538 Cs
0.1243 0.1705 0.2448 Cs
0.1205 0.3757 0.0462 Cs
0.6205 0.0743 0.2448 Cs
0.3295 0.5743 0.4538 Cs
0.4538 0.3795 0.6243 Cs
0.2448 0.6705 0.1243 Cs
0.1205 0.7448 0.5743 Cs
0.0462 0.8757 0.1205 Cs
0.8295 0.9538 0.0743 Cs
0.8795 0.6243 0.9538 Cs
0.6205 0.5462 0.8757 Cs
0.6250 0.2500 0.3750 F
0.1250 0.8750 0.7500 F
0.8750 0.1250 0.2500 F
0.7500 0.3750 0.1250 F
0.2500 0.1250 0.3750 F
0.2500 0.6250 0.8750 F
0.8750 0.7500 0.1250 F
0.6250 0.3750 0.7500 F
0.3750 0.6250 0.2500 F
0.1250 0.2500 0.8750 F
0.3750 0.7500 0.6250 F
0.7500 0.8750 0.6250 F
0.2500 0.3750 0.6250 Ag
0.0000 0.0000 0.5000 Ag
0.1250 0.7500 0.3750 Ag
0.0000 0.5000 0.5000 Ag
0.6250 0.8750 0.2500 Ag
0.5000 0.0000 0.5000 Ag
0.0000 0.0000 0.0000 Ag
0.8750 0.6250 0.7500 Ag
0.3750 0.1250 0.7500 Ag
0.1250 0.3750 0.2500 Ag
0.7500 0.1250 0.8750 Ag
0.5000 0.5000 0.0000 Ag
0.6250 0.7500 0.8750 Ag
0.0000 0.5000 0.0000 Ag
0.7500 0.6250 0.3750 Ag
0.5000 0.0000 0.0000 Ag
0.8750 0.2500 0.6250 Ag
0.3750 0.2500 0.1250 Ag
0.5000 0.5000 0.5000 Ag
0.2500 0.8750 0.1250 Ag
```

Its energy relative to the elements, uncorrected is -0.53 eV/atom.

---

[2]
The following is a DFT calculation (PBE) of a geometry-optimized SrSi structure.

Geometry as POSCAR:
```
SrSi
1.0
-1.6947 -1.1132 -3.4336
5.4249 -7.4546 -0.2605
-4.2661 -3.2146 3.1477
Sr Si
4 4
direct
0.0000 0.1985 0.2884 Sr
0.5000 0.3015 0.7884 Sr
0.5000 0.6985 0.7884 Sr
0.0000 0.8015 0.2884 Sr
0.5000 0.5000 0.3001 Si
0.5000 0.0000 0.5601 Si
0.0000 0.5000 0.0601 Si
0.0000 0.0000 0.8001 Si
```

Its energy relative to the elements, uncorrected is -0.32 eV/atom.